A plane-wave DFT calculation with PBE-GGA was carried out for an optimized crystal structure of Tb6BiOs2.

Values from the calculation:
Raw total energy in eV per atom: -6.3664
Calculated density in g/cm3: 10.463
N(E_F) in states/eV/f.u.: 8.2

a = 8.6116 Å, b = 8.6116 Å, c = 8.6116 Å
α = 112.33°, β = 110.63°, γ = 105.54°
Fractional positions:
Tb  0.0244  0.2406  0.7839
Tb  0.1833  0.2810  0.4643
Tb  0.1833  0.7190  0.9022
Tb  0.3310  0.0161  0.6851
Tb  0.3310  0.6460  0.3149
Tb  0.4567  0.2406  0.2161
Tb  0.5433  0.7594  0.7839
Tb  0.6690  0.3540  0.6851
Tb  0.6690  0.9839  0.3149
Tb  0.8167  0.2810  0.0978
Tb  0.8167  0.7190  0.5357
Tb  0.9756  0.7594  0.2161
Bi  0.0000  0.0000  0.0000
Bi  0.5000  0.5000  0.0000
Os  0.1203  0.6203  0.5000
Os  0.3346  0.0000  0.3346
Os  0.6654  0.0000  0.6654
Os  0.8797  0.3797  0.5000

---

A plane-wave DFT calculation with PBE-GGA was carried out for an optimized crystal structure of TbCeTm2S4.

Values from the calculation:
Raw total energy in eV per atom: -6.4896
Formation energy from raw total energies in kJ/mol of formula units: -1534
Calculated density in g/cm3: 7.524
N(E_F) in states/eV/f.u.: 7.3

a = 6.7511 Å, b = 3.8796 Å, c = 6.8239 Å
α = 90.00°, β = 109.12°, γ = 90.00°
Fractional positions:
Tb  0.0000  0.0000  0.0000
Ce  0.5000  0.5000  0.0000
Tm  0.0000  0.5000  0.5000
Tm  0.5000  0.0000  0.5000
S  0.2415  0.0000  0.7359
S  0.2502  0.5000  0.2611
S  0.7498  0.5000  0.7389
S  0.7585  0.0000  0.2641

---

A plane-wave DFT calculation with PBE-GGA was carried out for an optimized crystal structure of CuRhBr2.

Values from the calculation:
Raw total energy in eV per atom: -3.7094
ΔE to the lowest computed polymorph in eV per atom: 0.000
Formation energy from raw total energies in kJ/mol of formula units: -4
Calculated density in g/cm3: 6.034
N(E_F) in states/eV/f.u.: 1.8

a = 3.7065 Å, b = 3.7065 Å, c = 22.6385 Å
α = 90.00°, β = 90.00°, γ = 120.00°
Fractional positions:
Cu  0.0000  0.0000  0.0000
Cu  0.3333  0.6667  0.6667
Cu  0.6667  0.3333  0.3333
Rh  0.0000  0.0000  0.2652
Rh  0.3333  0.6667  0.9319
Rh  0.6667  0.3333  0.5986
Br  0.0000  0.0000  0.5442
Br  0.0000  0.0000  0.7250
Br  0.3333  0.6667  0.2109
Br  0.3333  0.6667  0.3917
Br  0.6667  0.3333  0.0584
Br  0.6667  0.3333  0.8776

---

A plane-wave DFT calculation with PBE-GGA was carried out for an optimized crystal structure of Ti3PtC.

Values from the calculation:
Raw total energy in eV per atom: -6.3427
ΔE to the lowest computed polymorph in eV per atom: 2.272
Calculated density in g/cm3: 5.446
N(E_F) in states/eV/f.u.: 4.0

a = 4.7466 Å, b = 4.7466 Å, c = 4.7466 Å
α = 90.00°, β = 90.00°, γ = 90.00°
Fractional positions:
Ti  0.0000  0.0000  0.5000
Ti  0.0000  0.5000  0.0000
Ti  0.5000  0.0000  0.0000
Pt  0.0000  0.0000  0.0000
C  0.5000  0.5000  0.5000

---

A plane-wave DFT calculation with PBE-GGA was carried out for an optimized crystal structure of DyPd2Au6.

Values from the calculation:
Raw total energy in eV per atom: -4.0915
ΔE to the lowest computed polymorph in eV per atom: 0.140
Calculated density in g/cm3: 15.213
N(E_F) in states/eV/f.u.: 3.7

a = 8.2138 Å, b = 8.2138 Å, c = 3.0657 Å
α = 100.60°, β = 100.60°, γ = 57.18°
Fractional positions:
Dy  0.0000  0.0000  0.0000
Pd  0.3502  0.3502  0.8507
Pd  0.6498  0.6498  0.1493
Au  0.0021  0.6499  0.3247
Au  0.3264  0.6736  0.5000
Au  0.3501  0.9979  0.6753
Au  0.6499  0.0021  0.3247
Au  0.6736  0.3264  0.5000
Au  0.9979  0.3501  0.6753

---

A plane-wave DFT calculation with PBE-GGA was carried out for an optimized crystal structure of Pr6HOs2.

Values from the calculation:
Raw total energy in eV per atom: -6.1914
Calculated density in g/cm3: 8.404
N(E_F) in states/eV/f.u.: 8.6

a = 6.5819 Å, b = 7.5040 Å, c = 11.7495 Å
α = 90.00°, β = 123.33°, γ = 90.00°
Fractional positions:
Pr  0.1033  0.1757  0.4335
Pr  0.1033  0.3243  0.9335
Pr  0.2618  0.6710  0.4320
Pr  0.2618  0.8290  0.9320
Pr  0.3898  0.0417  0.2487
Pr  0.3898  0.4583  0.7487
Pr  0.6102  0.5417  0.2513
Pr  0.6102  0.9583  0.7513
Pr  0.7382  0.1710  0.0680
Pr  0.7382  0.3290  0.5680
Pr  0.8967  0.6757  0.0665
Pr  0.8967  0.8243  0.5665
H  0.0000  0.0000  0.0000
H  0.0000  0.5000  0.5000
Os  0.1907  0.1147  0.7433
Os  0.1907  0.3853  0.2433
Os  0.8093  0.6147  0.7567
Os  0.8093  0.8853  0.2567

---

A plane-wave DFT calculation with PBE-GGA was carried out for an optimized crystal structure of TlTc2As.

Values from the calculation:
Raw total energy in eV per atom: -6.4286
ΔE to the lowest computed polymorph in eV per atom: 0.331
Calculated density in g/cm3: 11.299
N(E_F) in states/eV/f.u.: 3.4

a = 3.1283 Å, b = 5.2210 Å, c = 8.5534 Å
α = 90.00°, β = 90.00°, γ = 90.00°
Fractional positions:
Tl  0.0000  0.0000  0.0000
Tl  0.5000  0.5000  0.0000
Tc  0.0000  0.5000  0.2816
Tc  0.0000  0.5000  0.7184
Tc  0.5000  0.0000  0.2816
Tc  0.5000  0.0000  0.7184
As  0.0000  0.0000  0.5000
As  0.5000  0.5000  0.5000

---

A plane-wave DFT calculation with PBE-GGA was carried out for an optimized crystal structure of La6SmHo12.

Values from the calculation:
Raw total energy in eV per atom: -4.4768
ΔE to the lowest computed polymorph in eV per atom: 0.093
Calculated density in g/cm3: 7.512
N(E_F) in states/eV/f.u.: 32.9

a = 8.7998 Å, b = 8.7998 Å, c = 8.7998 Å
α = 98.73°, β = 98.73°, γ = 98.73°
Fractional positions:
La  0.1534  0.5961  0.5961
La  0.4039  0.4039  0.8466
La  0.4039  0.8466  0.4039
La  0.5961  0.1534  0.5961
La  0.5961  0.5961  0.1534
La  0.8466  0.4039  0.4039
Sm  0.5000  0.5000  0.5000
Ho  0.0000  0.2539  0.7461
Ho  0.0000  0.7461  0.2539
Ho  0.1448  0.1448  0.4202
Ho  0.1448  0.4202  0.1448
Ho  0.2539  0.0000  0.7461
Ho  0.2539  0.7461  0.0000
Ho  0.4202  0.1448  0.1448
Ho  0.5798  0.8552  0.8552
Ho  0.7461  0.0000  0.2539
Ho  0.7461  0.2539  0.0000
Ho  0.8552  0.5798  0.8552
Ho  0.8552  0.8552  0.5798

---

A plane-wave DFT calculation with PBE-GGA was carried out for an optimized crystal structure of SiTcOs2.

Values from the calculation:
Raw total energy in eV per atom: -9.6556
Formation energy from raw total energies in kJ/mol of formula units: -36
Calculated density in g/cm3: 15.247
N(E_F) in states/eV/f.u.: 2.8

a = 2.8908 Å, b = 4.3594 Å, c = 8.7551 Å
α = 90.00°, β = 90.00°, γ = 90.00°
Fractional positions:
Si  0.0000  0.0000  0.0000
Si  0.5000  0.5000  0.5000
Tc  0.0000  0.5000  0.2760
Tc  0.5000  0.0000  0.7760
Os  0.0000  0.0000  0.4986
Os  0.0000  0.5000  0.7199
Os  0.5000  0.0000  0.2199
Os  0.5000  0.5000  0.9986

---

A plane-wave DFT calculation with PBE-GGA was carried out for an optimized crystal structure of Cs3Np3ZnSe8.

Values from the calculation:
Raw total energy in eV per atom: -5.7843
Formation energy from raw total energies in kJ/mol of formula units: -1566
Calculated density in g/cm3: 5.830
N(E_F) in states/eV/f.u.: 28.8

a = 9.7687 Å, b = 9.7687 Å, c = 9.7687 Å
α = 50.71°, β = 50.71°, γ = 50.71°
Fractional positions:
Cs  0.0000  0.5000  0.5000
Cs  0.5000  0.0000  0.5000
Cs  0.5000  0.5000  0.0000
Np  0.0000  0.0000  0.5000
Np  0.0000  0.5000  0.0000
Np  0.5000  0.0000  0.0000
Zn  0.5000  0.5000  0.5000
Se  0.2283  0.2283  0.2283
Se  0.2305  0.7226  0.7226
Se  0.2774  0.2774  0.7695
Se  0.2774  0.7695  0.2774
Se  0.7226  0.2305  0.7226
Se  0.7226  0.7226  0.2305
Se  0.7695  0.2774  0.2774
Se  0.7717  0.7717  0.7717

---

A plane-wave DFT calculation with PBE-GGA was carried out for an optimized crystal structure of LiAuN2F.

Values from the calculation:
Raw total energy in eV per atom: -3.9706
ΔE to the lowest computed polymorph in eV per atom: 0.000
Formation energy from raw total energies in kJ/mol of formula units: 372
Calculated density in g/cm3: 5.028
N(E_F) in states/eV/f.u.: 3.5

a = 3.8195 Å, b = 3.8195 Å, c = 5.6803 Å
α = 90.00°, β = 90.00°, γ = 90.00°
Fractional positions:
Li  0.0000  0.0000  0.0000
Au  0.5000  0.5000  0.5000
N  0.0000  0.5000  0.5000
N  0.5000  0.0000  0.5000
F  0.5000  0.5000  0.0000